P) Computed, not measured: crystalline PaAl2Au2 at its relaxed geometry at the PBE-GGA level of DFT.

Cell: 4.2065 4.2065 11.2683 Å, 90.00 90.00 90.00°
Closest atoms and distances in Å follow each position.
Positions (direct):
Pa  0.0000  0.0000  0.0000  8 Au 3.26, 8 Al 3.52
Pa  0.5000  0.5000  0.5000  8 Au 3.26, 8 Al 3.52
Al  0.0000  0.5000  0.2500  4 Au 2.57
Al  0.0000  0.5000  0.7500  4 Au 2.57
Al  0.5000  0.0000  0.2500  4 Au 2.57
Al  0.5000  0.0000  0.7500  4 Au 2.57
Au  0.0000  0.0000  0.3810  4 Al 2.57, 1 Au 2.68
Au  0.0000  0.0000  0.6190  4 Al 2.57, 1 Au 2.68
Au  0.5000  0.5000  0.1190  4 Al 2.57, 1 Au 2.68
Au  0.5000  0.5000  0.8810  4 Al 2.57, 1 Au 2.68

Output
**V**: 19.94 Å³/atom

=====

Q) Computed, not measured: crystalline PaAl2Au2 at its relaxed geometry at the PBE-GGA level of DFT.

Cell: 4.3532 4.3532 10.3719 Å, 90.00 90.00 90.00°
Closest atoms and distances in Å follow each position.
Positions (direct):
Pa  0.2500  0.2500  0.2475  8 Al 3.30-3.41, 8 Au 3.32-3.37
Pa  0.7500  0.7500  0.7525  8 Al 3.30-3.41, 8 Au 3.32-3.37
Al  0.2500  0.2500  0.8681  5 Au 2.45-2.57
Al  0.2500  0.7500  0.5000  4 Au 2.57
Al  0.7500  0.2500  0.5000  4 Au 2.57
Al  0.7500  0.7500  0.1319  5 Au 2.45-2.57
Au  0.2500  0.2500  0.6320  5 Al 2.45-2.57
Au  0.2500  0.7500  0.0000  4 Al 2.57
Au  0.7500  0.2500  0.0000  4 Al 2.57
Au  0.7500  0.7500  0.3680  5 Al 2.45-2.57

Output
**V**: 19.66 Å³/atom

=====

Which of them is the most stable? Correct choice: Q).